# Sr8In4Ag3N5

Crystalline Sr8In4Ag3N5 at its relaxed geometry (PBE, the Open Quantum Materials Database). Values from VASP.

Values from the calculation:
**Raw total energy**: -4.14 eV/atom

Geometry as Quantum ESPRESSO input:
```
&SYSTEM
  ibrav = 0, nat = 20, ntyp = 4
/
ATOMIC_SPECIES
Ag 107.87 Ag.upf
In 114.82 In.upf
N 14.01 N.upf
Sr 87.62 Sr.upf
CELL_PARAMETERS angstrom
-1.976 6.510 9.357
1.976 -6.510 9.357
1.976 6.510 -9.357
ATOMIC_POSITIONS crystal
Ag 0.308 0.308 0.000
Ag 0.500 0.500 0.000
Ag 0.692 0.692 0.000
In 0.084 0.084 0.000
In 0.916 0.916 0.000
In 0.849 0.500 0.349
In 0.151 0.500 0.651
N 0.469 0.307 0.162
N 0.855 0.693 0.162
N 0.500 0.000 0.500
N 0.145 0.307 0.838
N 0.531 0.693 0.838
Sr 0.443 0.098 0.345
Sr 0.247 0.902 0.345
Sr 0.639 0.290 0.349
Sr 0.059 0.710 0.349
Sr 0.941 0.290 0.651
Sr 0.361 0.710 0.651
Sr 0.753 0.098 0.655
Sr 0.557 0.902 0.655
```



# HAu

Crystalline HAu at its relaxed geometry (PBE, the Open Quantum Materials Database). Values from VASP.

Values from the calculation:
**Raw total energy**: -2.78 eV/atom

Geometry as Quantum ESPRESSO input:
```
&SYSTEM
  ibrav = 0, nat = 2, ntyp = 2
/
ATOMIC_SPECIES
Au 196.97 Au.upf
H 1.01 H.upf
CELL_PARAMETERS angstrom
2.901 0.000 0.000
-1.451 2.513 0.000
0.000 0.000 3.025
ATOMIC_POSITIONS crystal
Au 0.667 0.333 0.750
H 0.333 0.667 0.250
```



# LiCuTcSe2S

Crystalline LiCuTcSe2S at its relaxed geometry (PBE, the Open Quantum Materials Database). Values from VASP.

Values from the calculation:
**Energy above the most stable polymorph in this dataset**: 0.000 eV per atom
**Size of the total moment**: 0.352 μB per formula unit

Geometry as Quantum ESPRESSO input:
```
&SYSTEM
  ibrav = 0, nat = 12, ntyp = 5
/
ATOMIC_SPECIES
Cu 63.55 Cu.upf
Li 6.94 Li.upf
S 32.06 S.upf
Se 78.96 Se.upf
Tc 98.00 Tc.upf
CELL_PARAMETERS angstrom
7.044 0.000 0.000
0.000 3.527 0.000
-2.055 0.000 8.674
ATOMIC_POSITIONS crystal
Cu 0.568 0.250 0.108
Cu 0.432 0.750 0.892
Li 0.251 0.750 0.212
Li 0.749 0.250 0.788
S 0.592 0.250 0.359
S 0.408 0.750 0.641
Se 0.780 0.750 0.033
Se 0.080 0.250 0.376
Se 0.920 0.750 0.624
Se 0.220 0.250 0.967
Tc 0.809 0.750 0.322
Tc 0.191 0.250 0.678
```



# UCdPd

Crystalline UCdPd at its relaxed geometry (PBE, the Open Quantum Materials Database). Values from VASP.

Values from the calculation:
**Size of the total moment**: 2.896 μB per formula unit
**ΔH_f (0 K)**: 0.139 eV per atom

Geometry as Quantum ESPRESSO input:
```
&SYSTEM
  ibrav = 0, nat = 3, ntyp = 3
/
ATOMIC_SPECIES
Cd 112.41 Cd.upf
Pd 106.42 Pd.upf
U 238.03 U.upf
CELL_PARAMETERS angstrom
0.000 3.291 3.291
3.291 0.000 3.291
3.291 3.291 0.000
ATOMIC_POSITIONS crystal
Cd 0.500 0.500 0.500
Pd 0.250 0.250 0.250
U 0.000 0.000 0.000
```



# TbGdPd2Pb

Crystalline TbGdPd2Pb at its relaxed geometry (PBE, the Open Quantum Materials Database). Values from VASP.

Values from the calculation:
**Size of the total moment**: 0.005 μB per formula unit
**Raw total energy**: -5.48 eV/atom

Geometry as Quantum ESPRESSO input:
```
&SYSTEM
  ibrav = 0, nat = 5, ntyp = 4
/
ATOMIC_SPECIES
Gd 157.25 Gd.upf
Pb 207.20 Pb.upf
Pd 106.42 Pd.upf
Tb 158.93 Tb.upf
CELL_PARAMETERS angstrom
-1.605 1.758 -2.747
-6.948 -1.112 3.348
-5.491 2.606 4.877
ATOMIC_POSITIONS crystal
Gd 0.000 0.365 0.365
Pb 0.500 0.000 0.000
Pd 0.500 0.192 0.192
Pd 0.500 0.807 0.807
Tb 0.000 0.635 0.635
```



# TmBiSO2

Crystalline TmBiSO2 at its relaxed geometry (PBE, the Open Quantum Materials Database). Values from VASP.

Values from the calculation:
**Size of the total moment**: 0.002 μB per formula unit
**Raw total energy**: -6.58 eV/atom

Geometry as Quantum ESPRESSO input:
```
&SYSTEM
  ibrav = 0, nat = 5, ntyp = 4
/
ATOMIC_SPECIES
Bi 208.98 Bi.upf
O 16.00 O.upf
S 32.06 S.upf
Tm 168.93 Tm.upf
CELL_PARAMETERS angstrom
-2.777 -1.433 -2.215
3.125 -2.086 0.743
-3.001 -2.563 5.421
ATOMIC_POSITIONS crystal
Bi 0.000 0.000 0.724
O 0.000 0.000 0.363
O 0.333 0.667 0.615
S 0.667 0.333 0.015
Tm 0.333 0.667 0.283
```



# Nd2GdMg3Pd2Au

Crystalline Nd2GdMg3Pd2Au at its relaxed geometry (PBE, the Open Quantum Materials Database). Values from VASP.

Values from the calculation:
**Size of the total moment**: 0.007 μB per formula unit
**Raw total energy**: -4.27 eV/atom

Geometry as Quantum ESPRESSO input:
```
&SYSTEM
  ibrav = 0, nat = 9, ntyp = 5
/
ATOMIC_SPECIES
Au 196.97 Au.upf
Gd 157.25 Gd.upf
Mg 24.30 Mg.upf
Nd 144.24 Nd.upf
Pd 106.42 Pd.upf
CELL_PARAMETERS angstrom
-2.817 2.218 2.067
-5.222 -5.375 -1.348
4.310 -0.368 6.267
ATOMIC_POSITIONS crystal
Au 0.000 0.004 0.004
Gd 0.000 0.414 0.414
Mg 0.500 0.246 0.002
Mg 0.500 0.002 0.246
Mg 0.500 0.753 0.753
Nd 0.000 0.584 0.000
Nd 0.000 0.000 0.584
Pd 0.500 0.661 0.335
Pd 0.500 0.335 0.661
```



# TlAu2

Crystalline TlAu2 at its relaxed geometry (PBE, the Open Quantum Materials Database). Values from VASP.

Values from the calculation:
**Energy above the most stable polymorph in this dataset**: 0.073 eV per atom

Geometry as Quantum ESPRESSO input:
```
&SYSTEM
  ibrav = 0, nat = 3, ntyp = 2
/
ATOMIC_SPECIES
Au 196.97 Au.upf
Tl 204.38 Tl.upf
CELL_PARAMETERS angstrom
-3.973 -2.716 0.438
4.183 -2.031 -1.317
0.737 -0.561 3.207
ATOMIC_POSITIONS crystal
Au 0.667 0.333 0.500
Au 0.333 0.667 0.500
Tl 0.000 0.000 0.000
```



# Bi2SbAu

Crystalline Bi2SbAu at its relaxed geometry (PBE, the Open Quantum Materials Database). Values from VASP.

Values from the calculation:
**Raw total energy**: -3.67 eV/atom

Geometry as Quantum ESPRESSO input:
```
&SYSTEM
  ibrav = 0, nat = 4, ntyp = 3
/
ATOMIC_SPECIES
Au 196.97 Au.upf
Bi 208.98 Bi.upf
Sb 121.76 Sb.upf
CELL_PARAMETERS angstrom
0.000 3.775 3.775
3.775 0.000 3.775
3.775 3.775 0.000
ATOMIC_POSITIONS crystal
Au 0.500 0.500 0.500
Bi 0.000 0.000 0.000
Bi 0.750 0.750 0.750
Sb 0.250 0.250 0.250
```



# YTaCuSb

Crystalline YTaCuSb at its relaxed geometry (PBE, the Open Quantum Materials Database). Values from VASP.

Values from the calculation:
**Energy above the most stable polymorph in this dataset**: 0.000 eV per atom
**Size of the total moment**: 0.018 μB per formula unit

Geometry as Quantum ESPRESSO input:
```
&SYSTEM
  ibrav = 0, nat = 4, ntyp = 4
/
ATOMIC_SPECIES
Cu 63.55 Cu.upf
Sb 121.76 Sb.upf
Ta 180.95 Ta.upf
Y 88.91 Y.upf
CELL_PARAMETERS angstrom
1.025 1.797 4.382
-3.483 0.350 3.351
0.054 -2.923 3.865
ATOMIC_POSITIONS crystal
Cu 0.750 0.750 0.750
Sb 0.000 0.000 0.000
Ta 0.250 0.250 0.250
Y 0.500 0.500 0.500
```



# ErTaN2O

Crystalline ErTaN2O at its relaxed geometry (PBE, the Open Quantum Materials Database). Values from VASP.

Values from the calculation:
**Size of the total moment**: 0.000 μB per formula unit
**Raw total energy**: -9.59 eV/atom

Geometry as Quantum ESPRESSO input:
```
&SYSTEM
  ibrav = 0, nat = 40, ntyp = 4
/
ATOMIC_SPECIES
Er 167.26 Er.upf
N 14.01 N.upf
O 16.00 O.upf
Ta 180.95 Ta.upf
CELL_PARAMETERS angstrom
-1.874 -5.293 5.477
7.605 -0.836 1.816
-0.717 5.533 5.567
ATOMIC_POSITIONS crystal
Er 0.519 0.752 0.014
Er 0.976 0.252 0.442
Er 0.461 0.251 0.456
Er 0.539 0.749 0.493
Er 0.025 0.748 0.507
Er 0.481 0.248 0.935
Er 0.952 0.250 0.955
Er 0.048 0.750 0.994
N 0.792 0.752 0.156
N 0.001 0.442 0.173
N 0.328 0.251 0.188
N 0.499 0.942 0.276
N 0.207 0.449 0.473
N 0.808 0.947 0.474
N 0.192 0.053 0.475
N 0.793 0.551 0.476
N 0.501 0.058 0.673
N 0.672 0.749 0.761
N 0.998 0.558 0.776
N 0.208 0.248 0.794
N 0.304 0.563 0.971
N 0.292 0.939 0.974
N 0.708 0.061 0.975
N 0.696 0.437 0.978
O 0.999 0.072 0.176
O 0.167 0.754 0.259
O 0.498 0.571 0.274
O 0.711 0.252 0.307
O 0.289 0.748 0.643
O 0.502 0.429 0.676
O 0.833 0.246 0.691
O 0.001 0.928 0.774
Ta 0.761 0.509 0.217
Ta 0.246 0.486 0.220
Ta 0.262 0.006 0.220
Ta 0.749 0.990 0.232
Ta 0.251 0.010 0.718
Ta 0.738 0.995 0.729
Ta 0.754 0.514 0.730
Ta 0.239 0.491 0.733
```